No. 1
{"formula": "SrPmCuRh", "functional": "PBE-GGA", "state": "relaxed", "cell": [[7.195, 0.000, 0.000], [0.000, 7.195, 0.000], [0.000, 0.000, 7.195]], "species": ["Sr", "Sr", "Sr", "Sr", "Pm", "Pm", "Pm", "Pm", "Cu", "Cu", "Cu", "Cu", "Rh", "Rh", "Rh", "Rh"], "frac_coords": [[0.000, 0.000, 0.000], [0.000, 0.500, 0.500], [0.500, 0.000, 0.500], [0.500, 0.500, 0.000], [0.000, 0.000, 0.500], [0.000, 0.500, 0.000], [0.500, 0.000, 0.000], [0.500, 0.500, 0.500], [0.250, 0.250, 0.750], [0.250, 0.750, 0.250], [0.750, 0.250, 0.250], [0.750, 0.750, 0.750], [0.250, 0.250, 0.250], [0.250, 0.750, 0.750], [0.750, 0.250, 0.750], [0.750, 0.750, 0.250]], "sg": "F-43m, No. 216", "magnetic_moment_mub_per_fu": 0.00, "dos_ef_per_ev_cell": 7.72, "dft_energy_ev_per_atom": -4.7061, "formation_enthalpy_0k_ev_per_atom": -0.24, "volume_a3_per_atom": 23.28}

---

No. 2
{"formula": "TbPmCuRh", "functional": "PBE-GGA", "state": "relaxed", "cell": [[4.421, 0.000, 0.000], [0.000, 3.848, 0.000], [0.000, 0.000, 10.517]], "species": ["Tb", "Tb", "Pm", "Pm", "Cu", "Cu", "Rh", "Rh"], "frac_coords": [[0.000, 0.000, 0.000], [0.000, 0.500, 0.500], [0.500, 0.000, 0.277], [0.500, 0.500, 0.777], [0.000, 0.000, 0.710], [0.000, 0.500, 0.210], [0.500, 0.000, 0.554], [0.500, 0.500, 0.054]], "sg": "Amm2, No. 38", "magnetic_moment_mub_per_fu": 0.00, "dos_ef_per_ev_cell": 5.51, "dft_energy_ev_per_atom": -5.7358, "formation_enthalpy_0k_ev_per_atom": -0.53, "volume_a3_per_atom": 22.37}

---

No. 3
{"formula": "TbPmCuRh", "functional": "PBE-GGA", "state": "relaxed", "cell": [[7.012, 0.000, 0.000], [0.000, 7.012, 0.000], [0.000, 0.000, 7.012]], "species": ["Tb", "Tb", "Tb", "Tb", "Pm", "Pm", "Pm", "Pm", "Cu", "Cu", "Cu", "Cu", "Rh", "Rh", "Rh", "Rh"], "frac_coords": [[0.000, 0.000, 0.000], [0.000, 0.500, 0.500], [0.500, 0.000, 0.500], [0.500, 0.500, 0.000], [0.000, 0.000, 0.500], [0.000, 0.500, 0.000], [0.500, 0.000, 0.000], [0.500, 0.500, 0.500], [0.250, 0.250, 0.250], [0.250, 0.750, 0.750], [0.750, 0.250, 0.750], [0.750, 0.750, 0.250], [0.250, 0.250, 0.750], [0.250, 0.750, 0.250], [0.750, 0.250, 0.250], [0.750, 0.750, 0.750]], "sg": "F-43m, No. 216", "magnetic_moment_mub_per_fu": 0.00, "dos_ef_per_ev_cell": 13.73, "dft_energy_ev_per_atom": -5.6964, "formation_enthalpy_0k_ev_per_atom": -0.49, "volume_a3_per_atom": 21.55}

---

No. 4
{"formula": "PmCuTeRh", "functional": "PBE-GGA", "state": "relaxed", "cell": [[6.832, 0.000, 0.000], [0.000, 6.832, 0.000], [0.000, 0.000, 6.832]], "species": ["Pm", "Pm", "Pm", "Pm", "Cu", "Cu", "Cu", "Cu", "Te", "Te", "Te", "Te", "Rh", "Rh", "Rh", "Rh"], "frac_coords": [[0.000, 0.000, 0.000], [0.000, 0.500, 0.500], [0.500, 0.000, 0.500], [0.500, 0.500, 0.000], [0.250, 0.250, 0.250], [0.250, 0.750, 0.750], [0.750, 0.250, 0.750], [0.750, 0.750, 0.250], [0.000, 0.000, 0.500], [0.000, 0.500, 0.000], [0.500, 0.000, 0.000], [0.500, 0.500, 0.500], [0.250, 0.250, 0.750], [0.250, 0.750, 0.250], [0.750, 0.250, 0.250], [0.750, 0.750, 0.750]], "sg": "F-43m, No. 216", "formation_energy_uncorrected_ev_per_atom": -0.406, "magnetic_moment_mub_per_fu": 0.00, "dos_ef_per_ev_cell": 9.71, "dft_energy_ev_per_atom": -5.2410, "volume_a3_per_atom": 19.93}